1.
DFT (PBE) results for a relaxed Rb3CeP2S8 crystal.

Results
* VASP energy: -0.172 hartree per atom

a = 7.1417 Å, b = 7.1417 Å, c = 9.4109 Å
α = 90.00°, β = 90.00°, γ = 120.00°
With the nearest neighbours (Å) after each atom.
Atoms (fractional coordinates):
1 S 0.8240 0.1760 0.6827  1 P 2.09
2 Rb 0.0000 0.0000 0.0000  12 S 3.70-4.13
3 S 0.8240 0.6480 0.6827  1 P 2.09
4 S 0.1760 0.8240 0.3173  1 P 2.09
5 Ce 0.0000 0.0000 0.5000  6 S 2.77
6 S 0.3520 0.1760 0.6827  1 P 2.09
7 S 0.6667 0.3333 0.9714  1 P 1.96
8 Rb 0.3333 0.6667 0.6663  10 S 3.41-3.82
9 S 0.6480 0.8240 0.3173  1 P 2.09
10 S 0.1760 0.3520 0.3173  1 P 2.09
11 Rb 0.6667 0.3333 0.3337  10 S 3.41-3.82
12 P 0.3333 0.6667 0.2373  4 S 1.96-2.09
13 P 0.6667 0.3333 0.7627  4 S 1.96-2.09
14 S 0.3333 0.6667 0.0286  1 P 1.96



2.
DFT (PBE) results for a relaxed GaPdN2F crystal.

Results
* relative energy among the computed polymorphs: 0.0 kJ/mol of formula units

a = 3.9344 Å, b = 3.9344 Å, c = 3.7715 Å
α = 90.00°, β = 90.00°, γ = 90.00°
With the nearest neighbours (Å) after each atom.
Atoms (fractional coordinates):
1 N 0.0000 0.5000 0.0000  2 Ga 1.97
2 N 0.5000 0.0000 0.0000  2 Ga 1.97
3 Pd 0.5000 0.5000 0.5000  8 N 2.73, 4 F 2.78
4 F 0.0000 0.0000 0.5000  2 Ga 1.89
5 Ga 0.0000 0.0000 0.0000  2 F 1.89, 4 N 1.97



3.
DFT (PBE) results for a relaxed TlRePt3 crystal.

Results
* energy relative to the elements: 0.927 eV/atom
* relative energy among the computed polymorphs: 0.0 kJ/mol of formula units

a = 4.9023 Å, b = 4.9023 Å, c = 4.9023 Å
α = 90.00°, β = 90.00°, γ = 90.00°
With the nearest neighbours (Å) after each atom.
Atoms (fractional coordinates):
1 Tl 0.5000 0.5000 0.5000  12 Pt 3.47
2 Pt 0.0000 0.0000 0.5000  2 Re 2.45
3 Pt 0.0000 0.5000 0.0000  2 Re 2.45
4 Pt 0.5000 0.0000 0.0000  2 Re 2.45
5 Re 0.0000 0.0000 0.0000  6 Pt 2.45



4.
DFT (PBE) results for a relaxed TbH5Os crystal.

Results
* VASP energy: -0.177 hartree per atom

a = 3.8008 Å, b = 4.8446 Å, c = 4.8446 Å
α = 64.16°, β = 66.90°, γ = 66.90°
With the nearest neighbours (Å) after each atom.
Atoms (fractional coordinates):
1 Tb 0.9472 0.0000 0.0000  6 H 2.09-2.15
2 H 0.4516 0.8234 0.1766  1 Os 1.67, 1 H 1.82
3 H 0.8298 0.2832 0.2832  1 Os 1.66
4 H 0.4516 0.1766 0.8234  1 Os 1.67, 1 H 1.82
5 Os 0.4751 0.5000 0.5000  4 H 1.66-1.67
6 H 0.3962 0.7168 0.7168  1 Os 1.66
7 H 0.9791 0.5000 0.5000  2 Os 1.89-1.92, 2 H 2.10



5.
DFT (PBE) results for a relaxed Ca3Pr2PaSb6 crystal.

Results
* VASP energy: -0.187 hartree per atom

a = 7.8882 Å, b = 7.8882 Å, c = 7.7490 Å
α = 99.82°, β = 99.82°, γ = 120.11°
With the nearest neighbours (Å) after each atom.
Atoms (fractional coordinates):
1 Sb 0.4006 0.0799 0.2412  1 Pa 3.08, 3 Ca 3.20-3.26, 2 Pr 3.21
2 Pr 0.3341 0.6659 0.0000  6 Sb 3.21
3 Ca 0.8271 0.1729 0.5000  6 Sb 3.20-3.26
4 Ca 0.5000 0.5000 0.5000  6 Sb 3.20-3.31
5 Sb 0.0799 0.4006 0.2412  1 Pa 3.08, 3 Ca 3.20-3.26, 2 Pr 3.21
6 Sb 0.5994 0.9201 0.7588  1 Pa 3.08, 3 Ca 3.20-3.26, 2 Pr 3.21
7 Sb 0.9201 0.5994 0.7588  1 Pa 3.08, 3 Ca 3.20-3.26, 2 Pr 3.21
8 Sb 0.7625 0.7625 0.2445  1 Pa 3.08, 2 Pr 3.21, 3 Ca 3.24-3.31
9 Sb 0.2375 0.2375 0.7555  1 Pa 3.08, 2 Pr 3.21, 3 Ca 3.24-3.31
10 Ca 0.1729 0.8271 0.5000  6 Sb 3.20-3.26
11 Pr 0.6659 0.3341 0.0000  6 Sb 3.21
12 Pa 0.0000 0.0000 0.0000  6 Sb 3.08



6.
DFT (PBE) results for a relaxed CrAu2Se crystal.

Results
* VASP energy: -0.169 hartree per atom

a = 8.4750 Å, b = 8.4750 Å, c = 8.4750 Å
α = 22.07°, β = 22.07°, γ = 22.07°
With the nearest neighbours (Å) after each atom.
Atoms (fractional coordinates):
1 Cr 0.2500 0.2500 0.2500  6 Au 2.66
2 Au 0.9931 0.9931 0.9931  3 Cr 2.66, 3 Se 2.92
3 Au 0.5069 0.5069 0.5069  3 Cr 2.66, 3 Se 2.92
4 Se 0.7500 0.7500 0.7500  6 Au 2.92, 6 Se 3.24



7.
DFT (PBE) results for a relaxed YMgAg2 crystal.

Results
* energy relative to the elements: -0.269 eV/atom

a = 3.5015 Å, b = 3.4995 Å, c = 7.0256 Å
α = 90.00°, β = 90.00°, γ = 90.00°
With the nearest neighbours (Å) after each atom.
Atoms (fractional coordinates):
1 Ag 0.0000 0.0000 0.0236  4 Mg 2.94, 4 Y 3.13, 1 Ag 3.18
2 Ag 0.0000 0.0000 0.4764  4 Mg 2.94, 4 Y 3.13, 1 Ag 3.18
3 Y 0.5000 0.5000 0.7500  8 Ag 3.13, 4 Y 3.50
4 Mg 0.5000 0.5000 0.2500  8 Ag 2.94



Copy entry 3 word for word.
DFT (PBE) results for a relaxed TlRePt3 crystal.

Results
* energy relative to the elements: 0.927 eV/atom
* relative energy among the computed polymorphs: 0.0 kJ/mol of formula units

a = 4.9023 Å, b = 4.9023 Å, c = 4.9023 Å
α = 90.00°, β = 90.00°, γ = 90.00°
With the nearest neighbours (Å) after each atom.
Atoms (fractional coordinates):
1 Tl 0.5000 0.5000 0.5000  12 Pt 3.47
2 Pt 0.0000 0.0000 0.5000  2 Re 2.45
3 Pt 0.0000 0.5000 0.0000  2 Re 2.45
4 Pt 0.5000 0.0000 0.0000  2 Re 2.45
5 Re 0.0000 0.0000 0.0000  6 Pt 2.45